This record from the Alexandria database describes a relaxed Pu2PaPd5 crystal. The functional is PBE.

Properties
Its volume is 20.082 Å³ per atom. The formation enthalpy at 0 K is -459 meV per atom. The value obtained for the spin magnetization is 12.3 μB/f.u.

a = 6.6024 Å, b = 6.6024 Å, c = 7.3709 Å
α = 90.00°, β = 90.00°, γ = 90.00°
Space group I4mm (No. 107)
Inequivalent atoms, fractional coordinates:
Pu1 0.0000 0.5000 0.0000 x4
Pa1 0.0000 0.0000 0.3871 x2
Pd1 0.0000 0.0000 0.0117 x2
Pd2 0.2173 0.2173 0.7389 x8

This record from the Alexandria database describes a relaxed Na3Tl5Ag crystal. The functional is PBE.

Properties
Its volume is 29.112 Å³ per atom. The value obtained for the relative energy among the computed polymorphs is 83 meV/atom. The formation enthalpy at 0 K is 16 meV per atom. The value obtained for the spin magnetization is 0.0 μB/f.u.

a = 8.9286 Å, b = 8.9286 Å, c = 13.1465 Å
α = 90.00°, β = 90.00°, γ = 90.00°
Space group I4/mcm (No. 140)
Inequivalent atoms, fractional coordinates:
Na1 0.0000 0.0000 0.2500 x4
Na2 0.1157 0.3843 0.0000 x8
Tl1 0.0000 0.0000 0.0000 x4
Tl2 0.1942 0.3058 0.3615 x16
Ag1 0.0000 0.5000 0.2500 x4

This record from the Alexandria database describes a relaxed BeTcRuCCl crystal. The functional is PBE.

Properties
Its volume is 12.873 Å³ per atom. The value obtained for the relative energy among the computed polymorphs is 375 meV/atom. The value obtained for the spin magnetization is 0.0 μB/f.u. Its uncorrected formation energy is 480 meV per atom.

a = 3.0199 Å, b = 4.1033 Å, c = 5.5571 Å
α = 103.94°, β = 105.13°, γ = 90.05°
Space group P1 (No. 1)
Inequivalent atoms, fractional coordinates:
Be1 0.0000 0.0000 0.0000 x1
Tc1 0.8000 0.2652 0.6176 x1
Ru1 0.2143 0.7313 0.4392 x1
C1 0.1703 0.2018 0.3496 x1
Cl1 0.4961 0.6149 0.9942 x1

Number 1: DFT total energy -0.6229 Ry per atom. Number 2: DFT total energy -0.1510 Ry per atom. Number 3: DFT total energy -0.4710 Ry per atom.